Here is Tb2NdIn3PtAu2 after structural relaxation from OQMD via LeMat-Bulk. Energies are from PBE.

Calculated values
raw total energy	-4.696	eV per atom
M_tot	0.01	μB/cell

Lattice parameters (Å, degrees): 4.004 13.488 7.757 90.00 90.00 90.00
Space group Amm2 (No. 38)
One atom of each set of equivalent atoms:
Tb 0.000 0.200 0.000 (multiplicity 4)
Nd 0.000 0.000 0.603 (multiplicity 2)
In 0.500 0.000 0.947 (multiplicity 2)
In 0.500 0.128 0.326 (multiplicity 4)
Pt 0.000 0.000 0.196 (multiplicity 2)
Au 0.500 0.170 0.702 (multiplicity 4)